*a*
Tl2PbBr4: relaxed, PBE-GGA.

Summary:
Magnetization: 0.00 μB per cell
DOS(E_F): 0.0 states/eV/f.u.

abc: 5.966 5.966 9.263
angles: 71.22 71.22 90.00
Element x y z (fractional)
Pb  0.000  0.000  0.000
Tl  0.365  0.365  0.270
Tl  0.635  0.635  0.730
Br  0.181  0.181  0.638
Br  0.819  0.819  0.362
Br  0.000  0.500  0.000
Br  0.500  0.000  0.000



*b*
Tl2PbBr4: relaxed, PBE-GGA.

Summary:
Magnetization: 0.00 μB per cell
DOS(E_F): 0.0 states/eV/f.u.

abc: 4.522 8.799 8.951
angles: 123.71 104.63 90.00
Element x y z (fractional)
Tl  0.704  0.722  0.408
Tl  0.296  0.278  0.592
Pb  0.000  0.000  0.000
Br  0.887  0.164  0.773
Br  0.113  0.836  0.227
Br  0.632  0.259  0.264
Br  0.368  0.741  0.736



Stability check: which of them is least stable? *a*.



*a*
Tl2Pb2Br7: relaxed, PBE-GGA.

Summary:
Magnetization: 0.00 μB per cell
DOS(E_F): 8.0 states/eV/f.u.

abc: 4.378 9.872 9.872
angles: 61.67 77.19 77.19
Element x y z (fractional)
Tl  0.744  0.846  0.666
Tl  0.256  0.334  0.154
Pb  0.000  0.804  0.196
Pb  0.500  0.341  0.659
Br  0.815  0.069  0.301
Br  0.876  0.400  0.849
Br  0.500  0.002  0.998
Br  0.604  0.500  0.292
Br  0.396  0.708  0.500
Br  0.185  0.699  0.931
Br  0.124  0.151  0.600



*b*
Tl2Pb2Br7: relaxed, PBE-GGA.

Summary:
Magnetization: 0.00 μB per cell
DOS(E_F): 14.4 states/eV/f.u.

abc: 7.311 7.826 7.311
angles: 90.00 99.31 90.00
Element x y z (fractional)
Tl  0.768  0.500  0.768
Tl  0.232  0.500  0.232
Pb  0.729  0.000  0.271
Pb  0.271  0.000  0.729
Br  0.000  0.253  0.500
Br  0.500  0.747  0.000
Br  0.000  0.747  0.500
Br  0.500  0.253  0.000
Br  0.000  0.000  0.000
Br  0.500  0.761  0.500
Br  0.500  0.239  0.500



Stability check: which of them is least stable? *b*.



*a*
V2PbBr: relaxed, PBE-GGA.

Summary:
Magnetization: 1.35 μB per cell
DOS(E_F): 7.5 states/eV/f.u.

abc: 4.699 4.699 4.699
angles: 60.00 60.00 60.00
Site moments in Bohr magnetons follow the coordinates.
Element x y z (fractional)
Pb  0.500  0.500  0.500  -0.07
Br  0.000  0.000  0.000  -0.05
V  0.250  0.250  0.250  0.68
V  0.750  0.750  0.750  0.68



*b*
V2PbBr: relaxed, PBE-GGA.

Summary:
Magnetization: 10.85 μB per cell
DOS(E_F): 3.9 states/eV/f.u.

abc: 7.286 7.286 6.145
angles: 53.64 53.64 90.00
Site moments in Bohr magnetons follow the coordinates.
Element x y z (fractional)
Pb  0.000  0.000  0.000  -0.12
Pb  0.750  0.250  0.500  -0.12
Br  0.500  0.500  0.000  -0.01
Br  0.250  0.750  0.500  -0.01
V  0.579  0.125  0.250  2.40
V  0.171  0.625  0.250  2.40
V  0.375  0.421  0.750  2.40
V  0.875  0.829  0.750  2.40



Stability check: which of them is least stable? *a*.



*a*
VPb2Br: relaxed, PBE-GGA.

Summary:
Magnetization: 6.99 μB per cell
DOS(E_F): 5.2 states/eV/f.u.

abc: 4.363 4.363 12.366
angles: 79.84 79.84 90.00
Site moments in Bohr magnetons follow the coordinates.
Element x y z (fractional)
Pb  0.618  0.125  0.250  -0.02
Pb  0.132  0.625  0.250  -0.02
Pb  0.375  0.382  0.750  -0.02
Pb  0.875  0.868  0.750  -0.02
Br  0.000  0.000  0.000  -0.03
Br  0.750  0.250  0.500  -0.03
V  0.500  0.500  0.000  2.97
V  0.250  0.750  0.500  2.97



*b*
VPb2Br: relaxed, PBE-GGA.

Summary:
Magnetization: 3.55 μB per cell
DOS(E_F): 8.5 states/eV/f.u.

abc: 5.336 5.336 5.336
angles: 60.00 60.00 60.00
Site moments in Bohr magnetons follow the coordinates.
Element x y z (fractional)
Pb  0.250  0.250  0.250  0.00
Pb  0.750  0.750  0.750  0.00
Br  0.500  0.500  0.500  0.06
V  0.000  0.000  0.000  2.86



Stability check: which of them is least stable? *b*.